[1]
VASP calculation (PBEsol) on a relaxed CdCuP2O7 crystal.

Geometry as POSCAR:
```
CdCuP2O7
1.0
3.346 -4.262 0.000
3.346 4.262 0.000
-1.022 0.000 4.401
Cd Cu P O
1 1 2 7
direct
0.000 0.000 0.000
0.386 0.614 0.000
0.491 0.086 0.590
0.914 0.509 0.410
0.075 0.671 0.712
0.085 0.404 0.208
0.329 0.925 0.288
0.348 0.261 0.749
0.596 0.915 0.792
0.739 0.652 0.251
0.748 0.252 0.500
```

## Properties
Uncorrected formation energy (eV per atom): -1.714
SG: No. 5

---

[2]
VASP calculation (PBEsol) on a relaxed MgCr2Tc crystal.

Geometry as POSCAR:
```
MgCr2Tc
1.0
0.000 3.009 3.009
3.009 0.000 3.009
3.009 3.009 0.000
Mg Cr Tc
1 2 1
direct
0.000 0.000 0.000
0.250 0.250 0.250
0.500 0.500 0.500
0.750 0.750 0.750
```

## Properties
Energy relative to the elements (eV/atom): 0.410
SG: No. 216

---

Going through the records in order, we get V values of 126 55 Å³/cell.